# KRb2HW

Crystalline KRb2HW at its relaxed geometry (PBE-GGA, Alexandria via LeMat-Bulk).

Output
Crystal system: tetragonal
Space group: P4/mmm
Raw total energy: -2.761 eV per atom

a = 6.904 Å, b = 4.033 Å, c = 6.904 Å
α = 90.00°, β = 90.00°, γ = 90.00°
Sites, in units of the cell vectors:
1 H 0.000 0.000 0.000
2 K 0.500 0.500 0.500
3 Rb 0.000 0.000 0.500
4 Rb 0.500 0.000 0.000
5 W 0.000 0.500 0.000